# CrSN2F PBE+U optimized geometry
data_CrSN2F
_chemical_formula_sum 'Cr1 S1 N2 F1'
_cell_length_a 3.947
_cell_length_b 3.947
_cell_length_c 3.804
_cell_angle_alpha 90.00
_cell_angle_beta 90.00
_cell_angle_gamma 90.00
_space_group_name_H-M_alt 'P 1'
_space_group_IT_number 1
_space_group_name_Hall 'P 1'
loop_
_atom_site_label
_atom_site_fract_x
_atom_site_fract_y
_atom_site_fract_z
_atom_site_occupancy
Cr1 0.000 0.000 0.000 1
S1 0.500 0.500 0.500 1
N1 0.000 0.500 0.000 1
N2 0.500 0.000 0.000 1
F1 0.000 0.000 0.500 1
# ΔE to the lowest computed polymorph: 0.000 eV per atom